Material: Cs2Tl2Te2Br
Method: DFT, PBE
State: optimized geometry

The symmetry is C2/m, No. 12. The calculation puts the total DFT energy (no corrections) at -2.87 eV/atom.

Cell: 4.961 8.015 10.394 Å, 63.81 90.00 71.98°
Fractional coordinates of all 7 atoms:
1 Te 0.122 0.756 0.569
2 Te 0.878 0.244 0.431
3 Cs 0.475 0.051 0.231
4 Cs 0.525 0.949 0.769
5 Tl 0.774 0.452 0.665
6 Tl 0.226 0.548 0.335
7 Br 0.000 0.000 0.000


Material: CsUTe2Br
Method: DFT, PBE
State: optimized geometry

The symmetry is P2_1/m, No. 11. The calculation puts the total DFT energy (no corrections) at -5.07 eV/atom.

Cell: 4.500 10.134 10.108 Å, 103.83 90.00 90.00°
Fractional coordinates of all 10 atoms:
1 Te 0.250 0.159 0.957
2 Te 0.750 0.841 0.043
3 Te 0.250 0.122 0.357
4 Te 0.750 0.878 0.643
5 U 0.250 0.848 0.834
6 U 0.750 0.152 0.166
7 Br 0.250 0.566 0.753
8 Br 0.750 0.434 0.247
9 Cs 0.250 0.725 0.322
10 Cs 0.750 0.275 0.678


Material: Cs2UTeBr5
Method: DFT, PBE
State: optimized geometry

The symmetry is I4mm, No. 107. The calculation puts the total DFT energy (no corrections) at -4.14 eV/atom.

Cell: 8.162 8.162 8.162 Å, 88.99 120.59 120.59°
Fractional coordinates of all 9 atoms:
1 Br 0.000 0.243 0.761
2 Br 0.000 0.236 0.236
3 Br 0.000 0.761 0.243
4 Br 0.482 0.243 0.243
5 Br 0.518 0.761 0.761
6 Cs 0.500 0.252 0.752
7 Cs 0.500 0.752 0.252
8 U 0.000 0.997 0.997
9 Te 0.000 0.754 0.754


Material: Cs2ZrTeBr6
Method: DFT, PBE
State: optimized geometry

The symmetry is I4/mmm, No. 139. The calculation puts the total DFT energy (no corrections) at -3.56 eV/atom.

Cell: 9.110 9.110 8.412 Å, 57.22 57.22 90.00°
Fractional coordinates of all 10 atoms:
1 Br 0.706 0.706 0.000
2 Br 0.294 0.294 0.000
3 Br 0.255 0.255 0.491
4 Br 0.745 0.745 0.509
5 Br 0.294 0.706 0.000
6 Br 0.706 0.294 0.000
7 Zr 0.500 0.500 0.000
8 Cs 0.250 0.750 0.500
9 Cs 0.750 0.250 0.500
10 Te 0.000 0.000 0.000


E_form (uncorrected): -0.818; -1.055; -1.417; -1.215 (eV per atom)